# 1
V2CN: relaxed, GGA-PBE.

a b c (Å): 5.101 5.101 5.101
angles (deg): 33.37 33.37 33.37
Fractional coordinates of all 4 atoms:
V1 0.245 0.245 0.245
V2 0.755 0.755 0.755
C1 0.500 0.500 0.500
N1 0.000 0.000 0.000

The total moment is 0.00 μB/f.u. The value obtained for the formation energy (no corrections) is -0.707 eV/atom.


# 2
V12C3N4: relaxed, GGA-PBE.

a b c (Å): 6.494 6.494 6.494
angles (deg): 109.47 109.47 109.47
Fractional coordinates of all 19 atoms:
V1 0.129 0.823 0.306
V2 0.177 0.306 0.483
V3 0.177 0.694 0.871
V4 0.306 0.129 0.823
V5 0.306 0.483 0.177
V6 0.483 0.177 0.306
V7 0.517 0.823 0.694
V8 0.694 0.517 0.823
V9 0.694 0.871 0.177
V10 0.823 0.306 0.129
V11 0.823 0.694 0.517
V12 0.871 0.177 0.694
C1 0.000 0.500 0.500
C2 0.500 0.000 0.500
C3 0.500 0.500 0.000
N1 0.000 0.000 0.500
N2 0.000 0.500 0.000
N3 0.500 0.000 0.000
N4 0.500 0.500 0.500

The total moment is 0.00 μB/f.u. The value obtained for the formation energy (no corrections) is -0.461 eV/atom.


# 3
V4CN: relaxed, GGA-PBE.

a b c (Å): 5.318 5.318 5.009
angles (deg): 117.93 117.93 31.54
Fractional coordinates of all 6 atoms:
V1 0.126 0.126 0.456
V2 0.374 0.374 0.042
V3 0.626 0.626 0.958
V4 0.874 0.874 0.544
C1 0.500 0.500 0.500
N1 0.000 0.000 0.000

The total moment is 0.00 μB/f.u. The value obtained for the formation energy (no corrections) is -0.702 eV/atom.


# 4
V3CN: relaxed, GGA-PBE.

a b c (Å): 2.994 4.291 4.291
angles (deg): 101.56 90.00 90.00
Fractional coordinates of all 5 atoms:
V1 0.000 0.000 0.000
V2 0.500 0.408 0.793
V3 0.500 0.793 0.408
C1 0.500 0.243 0.243
N1 0.000 0.649 0.649

The total moment is 0.00 μB/f.u. The value obtained for the formation energy (no corrections) is -0.290 eV/atom.


# 5
V8C2N: relaxed, GGA-PBE.

a b c (Å): 5.576 5.576 4.245
angles (deg): 92.15 92.15 74.60
Fractional coordinates of all 11 atoms:
V1 0.111 0.111 0.258
V2 0.174 0.590 0.260
V3 0.340 0.340 0.787
V4 0.410 0.826 0.740
V5 0.590 0.174 0.260
V6 0.660 0.660 0.213
V7 0.826 0.410 0.740
V8 0.889 0.889 0.742
C1 0.116 0.116 0.760
C2 0.884 0.884 0.240
N1 0.500 0.500 0.500

The total moment is 0.00 μB/f.u. The value obtained for the formation energy (no corrections) is -0.470 eV/atom.


# 6
V8C3N: relaxed, GGA-PBE.

a b c (Å): 4.965 4.965 5.790
angles (deg): 90.00 90.00 110.93
Fractional coordinates of all 12 atoms:
V1 0.239 0.256 0.249
V2 0.245 0.755 0.000
V3 0.248 0.752 0.500
V4 0.256 0.239 0.751
V5 0.744 0.761 0.751
V6 0.752 0.248 0.500
V7 0.755 0.245 0.000
V8 0.761 0.744 0.249
C1 0.000 0.000 0.500
C2 0.000 0.500 0.250
C3 0.500 0.000 0.750
N1 0.000 0.000 0.000

The total moment is 0.00 μB/f.u. The value obtained for the formation energy (no corrections) is -0.495 eV/atom.


# 7
V2CN: relaxed, GGA-PBE.

a b c (Å): 5.285 5.285 5.285
angles (deg): 31.48 31.48 31.48
Fractional coordinates of all 4 atoms:
V1 0.000 0.000 0.000
V2 0.176 0.176 0.176
C1 0.588 0.588 0.588
N1 0.419 0.419 0.419

The total moment is 0.00 μB/f.u. The value obtained for the formation energy (no corrections) is -0.729 eV/atom.


# 8
V2CN: relaxed, GGA-PBE.

a b c (Å): 3.641 3.641 3.641
angles (deg): 60.00 60.00 60.00
Fractional coordinates of all 4 atoms:
V1 0.250 0.250 0.250
V2 0.750 0.750 0.750
C1 0.000 0.000 0.000
N1 0.500 0.500 0.500

The total moment is 0.00 μB/f.u. The value obtained for the formation energy (no corrections) is -0.020 eV/atom.